<1>
Below is a geometry-optimized Sr2Zn2Hg structure, with properties calculated at the PBE-GGA level.

Cell lengths 6.205, 6.205, 5.931 Å; angles 58.46, 58.46, 90.00 degrees
Element x y z (fractional)
Sr (0.750, 0.250, 0.500)
Sr (0.250, 0.750, 0.500)
Zn (0.351, 0.351, 0.298)
Zn (0.649, 0.649, 0.702)
Hg (0.000, 0.000, 0.000)

Summary:
Mass density, g/cm³: 5.5
Density of states at the Fermi level, states/eV per cell: 1.84
Space group: I4/mmm, No. 139

<2>
Below is a geometry-optimized Sr2Zn2Hg structure, with properties calculated at the PBE-GGA level.

Cell lengths 4.805, 6.316, 10.700 Å; angles 85.16, 77.02, 67.64 degrees
Element x y z (fractional)
Sr (0.299, 0.292, 0.109)
Sr (0.539, 0.268, 0.655)
Sr (0.701, 0.708, 0.891)
Sr (0.461, 0.732, 0.345)
Zn (0.991, 0.123, 0.895)
Zn (0.127, 0.318, 0.429)
Zn (0.009, 0.877, 0.105)
Zn (0.873, 0.682, 0.571)
Hg (0.763, 0.141, 0.333)
Hg (0.237, 0.859, 0.667)

Summary:
Mass density, g/cm³: 5.7
Density of states at the Fermi level, states/eV per cell: 7.61
Space group: C2/m, No. 12

Need the numbers? Relative energies in kJ/mol of atoms: <1> 14.6; <2> 0.0.

<1>
Below is a geometry-optimized Sr2Zn2Hg structure, with properties calculated at the PBE-GGA level.

Cell lengths 3.928, 3.928, 9.970 Å; angles 78.64, 78.64, 90.00 degrees
Element x y z (fractional)
Sr (0.395, 0.395, 0.211)
Sr (0.605, 0.605, 0.789)
Zn (0.750, 0.250, 0.500)
Zn (0.250, 0.750, 0.500)
Hg (0.000, 0.000, 0.000)

Summary:
Mass density, g/cm³: 5.7
Density of states at the Fermi level, states/eV per cell: 2.99
Space group: I4/mmm, No. 139

<2>
Below is a geometry-optimized Sr2Zn2Hg structure, with properties calculated at the PBE-GGA level.

Cell lengths 4.163, 4.612, 7.870 Å; angles 107.04, 90.00, 90.00 degrees
Element x y z (fractional)
Sr (0.000, 0.687, 0.374)
Sr (0.000, 0.931, 0.861)
Zn (0.500, 0.315, 0.630)
Zn (0.500, 0.500, 0.001)
Hg (0.500, 0.109, 0.219)

Summary:
Mass density, g/cm³: 5.8
Density of states at the Fermi level, states/eV per cell: 2.90
Space group: Amm2, No. 38

Need the numbers? Relative energies in kJ/mol of atoms: <1> 6.3; <2> 0.0.